# NdTcGe2Ru PBE relaxed
data_NdTcGe2Ru
_chemical_formula_sum 'Nd2 Tc2 Ge4 Ru2'
_symmetry_space_group_name_H-M 'I -4 m 2'
_symmetry_Int_Tables_number 119
_symmetry_space_group_name_Hall 'I -4 -2'
_cell_length_a 4.3010
_cell_length_b 4.3010
_cell_length_c 10.1993
_cell_angle_alpha 90.00
_cell_angle_beta 90.00
_cell_angle_gamma 90.00
loop_
_atom_site_label
_atom_site_type_symbol
_atom_site_fract_x
_atom_site_fract_y
_atom_site_fract_z
Nd1 Nd 0.0000 0.0000 0.0000
Tc1 Tc 0.0000 0.5000 0.7500
Ge1 Ge 0.0000 0.0000 0.3694
Ru1 Ru 0.0000 0.5000 0.2500
# - D(E_F): 9.88 states/eV/cell
# - ΔE_f: -0.520 eV/atom